The following is a DFT calculation (PBE-GGA) of crystalline NdSmU at its relaxed geometry.

The value obtained for the energy relative to the lowest polymorph listed for this composition is 0.00 kJ per mole of atoms.

It has space group F-43m (No. 216), with a = 7.512 Å, b = 7.512 Å, c = 7.512 Å, α = 90.00°, β = 90.00° and γ = 90.00°. The distinct sites, in fractional coordinates, are Nd at (0.000, 0.000, 0.000), Sm at (0.000, 0.000, 0.500) and U at (0.250, 0.250, 0.250).

***

The following is a DFT calculation (PBE-GGA) of crystalline NaPr2S2O8F3 at its relaxed geometry.

The calculated total energy comes out at -421.31 eV per cell.

It has space group C2/c (No. 15), with a = 15.494 Å, b = 6.869 Å, c = 8.156 Å, α = 90.00°, β = 115.65° and γ = 90.00°. The distinct sites, in fractional coordinates, are Na at (0.000, 0.123, 0.250), Pr at (0.120, 0.408, 0.962), S at (0.178, 0.085, 0.661), O at (0.118, 0.091, 0.113), O at (0.130, 0.237, 0.523), O at (0.194, 0.151, 0.847), O at (0.224, 0.454, 0.321), F at (0.000, 0.209, 0.750) and F at (0.044, 0.441, 0.160).

***

The following is a DFT calculation (PBE-GGA) of crystalline LiNbFeBi at its relaxed geometry.

The value obtained for the energy relative to the lowest polymorph listed for this composition is 0.00 kJ per mole of atoms.

It has space group F-43m (No. 216), with a = 6.304 Å, b = 6.304 Å, c = 6.304 Å, α = 90.00°, β = 90.00° and γ = 90.00°. The distinct sites, in fractional coordinates, are Li at (0.000, 0.000, 0.000), Nb at (0.250, 0.250, 0.750), Fe at (0.000, 0.000, 0.500) and Bi at (0.250, 0.250, 0.250).